# ThMgTcPd

A relaxed ThMgTcPd crystal (PBE-GGA, Alexandria).

Cell: 6.7937 6.7937 6.7937 Å, 90.00 90.00 90.00°
Closest atoms and distances in Å follow each position.
Space group F-43m (No. 216)
Asymmetric unit:
Th (0.0000, 0.0000, 0.0000) (multiplicity 4)  4 Tc 2.94, 4 Pd 2.94
Mg (0.0000, 0.0000, 0.5000) (multiplicity 4)  4 Tc 2.94, 4 Pd 2.94
Tc (0.2500, 0.2500, 0.2500) (multiplicity 4)  4 Th 2.94, 4 Mg 2.94
Pd (0.2500, 0.2500, 0.7500) (multiplicity 4)  4 Th 2.94, 4 Mg 2.94

The value obtained for the total magnetization is 0.00 μB per cell. The calculation puts the formation energy at -0.25 eV/atom. The value obtained for the total energy is -102.3 eV per cell.

# MgZrTc2Pd

A relaxed MgZrTc2Pd crystal (PBE-GGA, Alexandria).

Cell: 4.7295 4.7295 5.2912 Å, 90.00 90.00 90.00°
Closest atoms and distances in Å follow each position.
Space group P4/mmm (No. 123)
Asymmetric unit:
Mg (0.0000, 0.0000, 0.0000) (multiplicity 1)  2 Zr 2.65
Zr (0.0000, 0.0000, 0.5000) (multiplicity 1)  4 Tc 2.36, 2 Mg 2.65
Tc (0.0000, 0.5000, 0.5000) (multiplicity 2)  2 Zr 2.36
Pd (0.5000, 0.5000, 0.0000) (multiplicity 1)  4 Mg 3.34, 8 Tc 3.55

The value obtained for the total magnetization is 2.94 μB per cell. The calculation puts the formation energy at 1.62 eV/atom. The value obtained for the total energy is -27.9 eV per cell.

> What is the total energy in the first record?

-102.3 eV per cell